DFT (GGA-PBE) results for a relaxed DyPuCu crystal.

Results
Energy of formation in kJ per mole of atoms: 3.4
Offset from the most stable computed form in meV/atom: 0

a b c (Å): 3.4454 3.4454 12.1336
angles (deg): 90.00 90.00 90.00
Space group I4mm (No. 107)
One atom of each set of equivalent atoms:
Dy1 0.0000 0.0000 0.0000
Pu1 0.0000 0.0000 0.7161
Cu1 0.0000 0.0000 0.3663